(1)
The following is a DFT calculation (PBE) of crystalline Ca3HfN at its relaxed geometry.

Summary:
The value obtained for the relative energy among the computed polymorphs is 1.859 eV per atom. The value obtained for the formation energy without anion corrections is 2015 meV/atom.

Unit cell a=5.7492 b=5.7492 c=5.7492 alpha=90.00 beta=90.00 gamma=90.00
Closest atoms and distances in Å follow each position.
Atoms (fractional coordinates):
1 Ca 0.0000 0.5000 0.0000  2 Hf 2.87
2 Ca 0.5000 0.0000 0.0000  2 Hf 2.87
3 Hf 0.0000 0.0000 0.0000  6 Ca 2.87
4 Ca 0.0000 0.0000 0.5000  2 Hf 2.87
5 N 0.5000 0.5000 0.5000  12 Ca 4.07


(2)
The following is a DFT calculation (PBE) of crystalline CaHfN2 at its relaxed geometry.

Summary:
The value obtained for the formation energy without anion corrections is -1423 meV/atom.

Unit cell a=5.4232 b=5.4232 c=5.9496 alpha=62.89 beta=62.89 gamma=90.00
Closest atoms and distances in Å follow each position.
Atoms (fractional coordinates):
1 Ca 0.2500 0.7500 0.5000  4 N 2.42
2 N 0.3750 0.3217 0.7500  2 Hf 2.07
3 Hf 0.0000 0.0000 0.0000  4 N 2.07
4 N 0.8750 0.9283 0.7500  2 Hf 2.07
5 N 0.0717 0.6250 0.2500  2 Hf 2.07
6 N 0.6783 0.1250 0.2500  2 Hf 2.07
7 Hf 0.7500 0.2500 0.5000  4 N 2.07
8 Ca 0.5000 0.5000 0.0000  4 N 2.42


Which value of formation energy without anion corrections does entry 1 give? 2015 meV/atom


formation energy without anion corrections of number 1 (Ca3HfN)? 2015 meV/atom


Among the records above, which one has the lowest formation energy without anion corrections? CaHfN2


formation energy without anion corrections of number 2 (CaHfN2)? -1423 meV/atom